1.
Compound: NaGaFe3
Source: Alexandria via LeMat-Bulk
Functional: PBE
Structure: relaxed

Unit cell a=4.6053 b=4.6053 c=4.6053 alpha=90.00 beta=90.00 gamma=90.00
Last column: nearest neighbours and their distance in Å.
Sites, in units of the cell vectors:
Fe 0.0000 0.0000 0.5000  2 Ga 2.30
Na 0.5000 0.5000 0.5000  12 Fe 3.26
Fe 0.5000 0.0000 0.0000  2 Ga 2.30
Ga 0.0000 0.0000 0.0000  6 Fe 2.30
Fe 0.0000 0.5000 0.0000  2 Ga 2.30

Results
* symmetry: Pm-3m (221)
* calculated formation energy: 4.923 eV/f.u.
* offset from the most stable computed form: 0 meV/atom
* VASP energy: -24.81 eV per formula unit

---

2.
Compound: NaGaFe2
Source: Alexandria via LeMat-Bulk
Functional: PBE
Structure: relaxed

Unit cell a=3.8669 b=3.8669 c=9.4642 alpha=78.21 beta=78.21 gamma=90.00
Last column: nearest neighbours and their distance in Å.
Sites, in units of the cell vectors:
Fe 0.3750 0.9413 0.7500  2 Fe 2.40, 2 Ga 2.56
Ga 0.7500 0.2500 0.5000  4 Fe 2.56, 4 Na 2.73
Fe 0.0587 0.1250 0.2500  2 Fe 2.40, 2 Ga 2.56
Fe 0.6913 0.6250 0.2500  2 Fe 2.40, 2 Ga 2.56
Fe 0.8750 0.3087 0.7500  2 Fe 2.40, 2 Ga 2.56
Na 0.5000 0.5000 0.0000  4 Ga 2.73, 4 Fe 2.75
Ga 0.0000 0.0000 0.0000  4 Fe 2.56, 4 Na 2.73
Na 0.2500 0.7500 0.5000  4 Ga 2.73, 4 Fe 2.75

Results
* symmetry: I-42d (122)
* calculated formation energy: 2.692 eV/f.u.
* VASP energy: -18.58 eV per formula unit

---

3.
Compound: NaGaFe3
Source: Alexandria via LeMat-Bulk
Functional: PBE
Structure: relaxed

Unit cell a=4.5816 b=4.5816 c=4.5816 alpha=90.00 beta=90.00 gamma=90.00
Last column: nearest neighbours and their distance in Å.
Sites, in units of the cell vectors:
Na 0.0000 0.0000 0.0000  6 Fe 2.29
Fe 0.0000 0.0000 0.5000  2 Na 2.29
Ga 0.5000 0.5000 0.5000  12 Fe 3.24
Fe 0.5000 0.0000 0.0000  2 Na 2.29
Fe 0.0000 0.5000 0.0000  2 Na 2.29

Results
* symmetry: Pm-3m (221)
* calculated formation energy: 8.794 eV/f.u.
* offset from the most stable computed form: 774 meV/atom
* VASP energy: -20.94 eV per formula unit

---

4.
Compound: NaGa2Fe2
Source: Alexandria via LeMat-Bulk
Functional: PBE
Structure: relaxed

Unit cell a=7.5761 b=7.5761 c=2.6043 alpha=90.00 beta=90.00 gamma=90.00
Last column: nearest neighbours and their distance in Å.
Sites, in units of the cell vectors:
Na 0.5000 0.5000 0.0000  2 Na 2.60
Ga 0.1775 0.6775 0.5000  6 Fe 2.58-2.61, 2 Ga 2.60
Na 0.0000 0.0000 0.0000  2 Na 2.60
Fe 0.3858 0.8858 0.0000  3 Fe 2.45-2.60, 6 Ga 2.58-2.61
Ga 0.8225 0.3225 0.5000  6 Fe 2.58-2.61, 2 Ga 2.60
Ga 0.6775 0.8225 0.5000  6 Fe 2.58-2.61, 2 Ga 2.60
Fe 0.1142 0.3858 0.0000  3 Fe 2.45-2.60, 6 Ga 2.58-2.61
Fe 0.6142 0.1142 0.0000  3 Fe 2.45-2.60, 6 Ga 2.58-2.61
Ga 0.3225 0.1775 0.5000  6 Fe 2.58-2.61, 2 Ga 2.60
Fe 0.8858 0.6142 0.0000  3 Fe 2.45-2.60, 6 Ga 2.58-2.61

Results
* symmetry: P4/mbm (127)
* calculated formation energy: -0.072 eV/f.u.
* offset from the most stable computed form: 0 meV/atom
* VASP energy: -24.37 eV per formula unit

---

5.
Compound: NaGa9Fe2
Source: Alexandria via LeMat-Bulk
Functional: PBE
Structure: relaxed

Unit cell a=3.5100 b=8.1882 c=8.1882 alpha=120.00 beta=90.00 gamma=90.00
Last column: nearest neighbours and their distance in Å.
Sites, in units of the cell vectors:
Ga 0.5000 0.1991 0.8009  2 Fe 2.59, 6 Ga 2.79-2.82
Ga 0.5000 0.3982 0.1991  2 Fe 2.59, 6 Ga 2.79-2.82
Ga 0.0000 0.5000 0.0000  2 Fe 2.36
Ga 0.0000 0.0000 0.5000  2 Fe 2.36
Ga 0.5000 0.8009 0.6018  2 Fe 2.59, 6 Ga 2.79-2.82
Ga 0.5000 0.6018 0.8009  2 Fe 2.59, 6 Ga 2.79-2.82
Fe 0.0000 0.3333 0.6667  9 Ga 2.36-2.59
Ga 0.5000 0.1991 0.3982  2 Fe 2.59, 6 Ga 2.79-2.82
Ga 0.0000 0.5000 0.5000  2 Fe 2.36
Ga 0.5000 0.8009 0.1991  2 Fe 2.59, 6 Ga 2.79-2.82
Na 0.0000 0.0000 0.0000  12 Ga 3.32, 2 Na 3.51
Fe 0.0000 0.6667 0.3333  9 Ga 2.36-2.59

Results
* symmetry: P6/mmm (191)
* calculated formation energy: -1.870 eV/f.u.
* VASP energy: -47.36 eV per formula unit